A geometry-optimized LaPm5Sm structure, computed with GGA-PBE.

Properties
The mass density comes out at 5.4 g/cm³. The offset from the most stable computed form is 0.803 eV per atom. The size of the total moment comes out at 0.003 μB per atom. The calculation puts the density of states at the Fermi level at 12.3 states/eV per cell.

Cell: 8.003 8.003 8.003 Å, 137.10 113.13 82.80°
Sites, in units of the cell vectors:
La 0.000 0.000 0.000
Pm 0.181 0.500 0.681
Pm 0.249 0.249 0.000
Pm 0.500 0.000 0.500
Pm 0.751 0.751 0.000
Pm 0.819 0.500 0.319
Sm 0.500 0.500 0.000

***

A geometry-optimized La2Pm3Sm2 structure, computed with GGA-PBE.

Properties
The mass density comes out at 6.9 g/cm³. The offset from the most stable computed form is 0.000 eV per atom. The size of the total moment comes out at 0.000 μB per atom. The calculation puts the density of states at the Fermi level at 11.2 states/eV per cell.

Cell: 3.684 6.332 11.036 Å, 95.45 90.03 106.80°
Sites, in units of the cell vectors:
La 0.216 0.429 0.356
La 0.784 0.571 0.644
Pm 0.357 0.715 0.930
Pm 0.500 0.000 0.500
Pm 0.643 0.285 0.070
Sm 0.071 0.141 0.788
Sm 0.929 0.859 0.212

***

A geometry-optimized La3PmSm3 structure, computed with GGA-PBE.

Properties
The mass density comes out at 6.8 g/cm³. The offset from the most stable computed form is 0.083 eV per atom. The size of the total moment comes out at 0.000 μB per atom. The calculation puts the density of states at the Fermi level at 10.5 states/eV per cell.

Cell: 6.713 6.713 6.713 Å, 107.68 107.68 107.68°
Sites, in units of the cell vectors:
La 0.188 0.188 0.624
La 0.188 0.624 0.188
La 0.624 0.188 0.188
Pm 0.153 0.153 0.153
Sm 0.035 0.674 0.674
Sm 0.674 0.035 0.674
Sm 0.674 0.674 0.035

***

A geometry-optimized LaPm2Sm4 structure, computed with GGA-PBE.

Properties
The mass density comes out at 6.7 g/cm³. The offset from the most stable computed form is 0.000 eV per atom. The size of the total moment comes out at 0.000 μB per atom. The calculation puts the density of states at the Fermi level at 20.2 states/eV per cell.

Cell: 9.312 9.312 5.901 Å, 90.00 90.00 90.00°
Sites, in units of the cell vectors:
La 0.000 0.000 0.000
La 0.500 0.500 0.500
Pm 0.187 0.187 0.500
Pm 0.313 0.687 0.000
Pm 0.687 0.313 0.000
Pm 0.813 0.813 0.500
Sm 0.104 0.365 0.000
Sm 0.135 0.604 0.500
Sm 0.365 0.104 0.000
Sm 0.396 0.865 0.500
Sm 0.604 0.135 0.500
Sm 0.635 0.896 0.000
Sm 0.865 0.396 0.500
Sm 0.896 0.635 0.000

***

A geometry-optimized LaPm3Sm12 structure, computed with GGA-PBE.

Properties
The mass density comes out at 7.2 g/cm³. The calculation puts the total energy at -75.57 eV for the cell shown. The size of the total moment comes out at 0.000 μB per atom. The calculation puts the density of states at the Fermi level at 24.2 states/eV per cell.

Cell: 5.148 5.148 20.594 Å, 90.00 90.00 90.00°
Sites, in units of the cell vectors:
La 0.000 0.000 0.000
Pm 0.000 0.000 0.250
Pm 0.000 0.000 0.500
Pm 0.000 0.000 0.750
Sm 0.000 0.500 0.127
Sm 0.000 0.500 0.375
Sm 0.000 0.500 0.625
Sm 0.000 0.500 0.873
Sm 0.500 0.000 0.127
Sm 0.500 0.000 0.375
Sm 0.500 0.000 0.625
Sm 0.500 0.000 0.873
Sm 0.500 0.500 0.000
Sm 0.500 0.500 0.251
Sm 0.500 0.500 0.500
Sm 0.500 0.500 0.749

***

A geometry-optimized La12Pm2Sm5 structure, computed with GGA-PBE.

Properties
The mass density comes out at 6.6 g/cm³. The offset from the most stable computed form is 0.055 eV per atom. The size of the total moment comes out at 0.000 μB per atom. The calculation puts the density of states at the Fermi level at 32.2 states/eV per cell.

Cell: 10.561 10.561 10.176 Å, 115.15 115.15 42.50°
Sites, in units of the cell vectors:
La 0.006 0.006 0.212
La 0.066 0.603 0.504
La 0.090 0.592 0.154
La 0.397 0.934 0.496
La 0.408 0.910 0.846
La 0.486 0.486 0.643
La 0.514 0.514 0.357
La 0.592 0.090 0.154
La 0.603 0.066 0.504
La 0.910 0.408 0.846
La 0.934 0.397 0.496
La 0.994 0.994 0.788
Pm 0.301 0.699 0.000
Pm 0.699 0.301 0.000
Sm 0.000 0.000 0.500
Sm 0.176 0.176 0.167
Sm 0.321 0.321 0.805
Sm 0.679 0.679 0.195
Sm 0.824 0.824 0.833

***

A geometry-optimized LaPm2Sm8 structure, computed with GGA-PBE.

Properties
The mass density comes out at 7.1 g/cm³. The offset from the most stable computed form is 0.000 eV per atom. The size of the total moment comes out at 0.000 μB per atom. The calculation puts the density of states at the Fermi level at 16.1 states/eV per cell.

Cell: 9.510 9.510 9.510 Å, 145.32 127.94 64.08°
Sites, in units of the cell vectors:
La 0.000 0.000 0.000
Pm 0.300 0.300 0.000
Pm 0.700 0.700 0.000
Sm 0.156 0.861 0.295
Sm 0.161 0.661 0.500
Sm 0.295 0.500 0.795
Sm 0.434 0.139 0.295
Sm 0.566 0.861 0.705
Sm 0.705 0.500 0.205
Sm 0.839 0.339 0.500
Sm 0.844 0.139 0.705

***

A geometry-optimized La3Pm5Sm4 structure, computed with GGA-PBE.

Properties
The mass density comes out at 6.8 g/cm³. The offset from the most stable computed form is 0.189 eV per atom. The size of the total moment comes out at 0.020 μB per atom. The calculation puts the density of states at the Fermi level at 19.9 states/eV per cell.

Cell: 8.781 8.781 9.465 Å, 114.53 114.53 40.50°
Sites, in units of the cell vectors:
La 0.000 0.000 0.000
La 0.295 0.295 0.781
La 0.705 0.705 0.219
Pm 0.074 0.074 0.699
Pm 0.173 0.173 0.395
Pm 0.500 0.500 0.000
Pm 0.827 0.827 0.605
Pm 0.926 0.926 0.301
Sm 0.292 0.292 0.129
Sm 0.419 0.419 0.562
Sm 0.581 0.581 0.438
Sm 0.708 0.708 0.871

***

A geometry-optimized La4PmSm structure, computed with GGA-PBE.

Properties
The mass density comes out at 6.4 g/cm³. The offset from the most stable computed form is 0.027 eV per atom. The size of the total moment comes out at 0.000 μB per atom. The calculation puts the density of states at the Fermi level at 8.4 states/eV per cell.

Cell: 9.538 9.538 3.529 Å, 90.00 90.00 136.84°
Sites, in units of the cell vectors:
La 0.096 0.403 0.000
La 0.403 0.096 0.000
La 0.597 0.904 0.000
La 0.904 0.597 0.000
Pm 0.000 0.000 0.500
Sm 0.500 0.500 0.500

***

A geometry-optimized LaPm4Sm5 structure, computed with GGA-PBE.

Properties
The mass density comes out at 7.1 g/cm³. The offset from the most stable computed form is 0.000 eV per atom. The size of the total moment comes out at 0.000 μB per atom. The calculation puts the density of states at the Fermi level at 14.6 states/eV per cell.

Cell: 3.663 3.663 25.744 Å, 90.00 90.00 90.00°
Sites, in units of the cell vectors:
La 0.000 0.000 0.000
Pm 0.000 0.000 0.202
Pm 0.000 0.000 0.401
Pm 0.000 0.000 0.599
Pm 0.000 0.000 0.798
Sm 0.500 0.500 0.102
Sm 0.500 0.500 0.301
Sm 0.500 0.500 0.500
Sm 0.500 0.500 0.699
Sm 0.500 0.500 0.898

***

A geometry-optimized La8Pm4Sm structure, computed with GGA-PBE.

Properties
The mass density comes out at 6.2 g/cm³. The calculation puts the total energy at -58.49 eV for the cell shown. The size of the total moment comes out at 0.000 μB per atom. The calculation puts the density of states at the Fermi level at 27.1 states/eV per cell.

Cell: 7.962 7.962 7.962 Å, 97.19 97.19 97.19°
Sites, in units of the cell vectors:
La 0.169 0.169 0.673
La 0.169 0.673 0.169
La 0.239 0.239 0.239
La 0.327 0.831 0.831
La 0.673 0.169 0.169
La 0.761 0.761 0.761
La 0.831 0.327 0.831
La 0.831 0.831 0.327
Pm 0.000 0.000 0.000
Pm 0.000 0.500 0.500
Pm 0.500 0.000 0.500
Pm 0.500 0.500 0.000
Sm 0.500 0.500 0.500

***

A geometry-optimized La2Pm5Sm6 structure, computed with GGA-PBE.

Properties
The mass density comes out at 6.9 g/cm³. The calculation puts the total energy at -121.48 eV for the cell shown. The size of the total moment comes out at 0.000 μB per atom. The calculation puts the density of states at the Fermi level at 34.0 states/eV per cell.

Cell: 11.938 20.849 3.664 Å, 90.00 90.00 90.00°
Sites, in units of the cell vectors:
La 0.173 0.220 0.000
La 0.327 0.720 0.000
La 0.673 0.280 0.000
La 0.827 0.780 0.000
Pm 0.000 0.500 0.500
Pm 0.087 0.781 0.500
Pm 0.201 0.055 0.500
Pm 0.299 0.555 0.500
Pm 0.413 0.281 0.500
Pm 0.500 0.000 0.500
Pm 0.587 0.719 0.500
Pm 0.701 0.445 0.500
Pm 0.799 0.945 0.500
Pm 0.913 0.219 0.500
Sm 0.061 0.925 0.000
Sm 0.075 0.637 0.000
Sm 0.181 0.374 0.500
Sm 0.319 0.874 0.500
Sm 0.425 0.137 0.000
Sm 0.439 0.425 0.000
Sm 0.561 0.575 0.000
Sm 0.575 0.863 0.000
Sm 0.681 0.126 0.500
Sm 0.819 0.626 0.500
Sm 0.925 0.363 0.000
Sm 0.939 0.075 0.000